1.
RbBe2Si2: PBEsol geometry, SCAN.

a = 4.122 Å, b = 4.122 Å, c = 5.801 Å
α = 110.81°, β = 110.81°, γ = 90.00°
Fractional coordinates of all 5 atoms:
Si  0.372  0.372  0.743
Si  0.628  0.628  0.257
Rb  0.000  0.000  0.000
Be  0.750  0.250  0.500
Be  0.250  0.750  0.500

Uncorrected energy, eV/atom: -9.576
Raw formation energy, eV/f.u.: 1.6
Crystal system: tetragonal
Space-group type: No. 139

=====

2.
RbBe3Sn: PBEsol geometry, SCAN.

a = 5.071 Å, b = 5.071 Å, c = 5.071 Å
α = 90.00°, β = 90.00°, γ = 90.00°
Fractional coordinates of all 5 atoms:
Be  0.500  0.000  0.000
Be  0.000  0.000  0.500
Be  0.000  0.500  0.000
Sn  0.500  0.500  0.500
Rb  0.000  0.000  0.000

Uncorrected energy, eV/atom: -11.567
E_form, eV/f.u.: 11.9
Crystal system: cubic
Space-group type: No. 221

=====

no.,total magnetization (Bohr magnetons per cell)
1,0.000
2,0.000